No. 1
The following is a PBE-GGA calculation of a geometry-optimized NaY3In structure, from Alexandria via LeMat-Bulk.

Results
energy above the lowest structure with this stoichiometry	0.0000	eV/atom
energy of formation from the pure elements	0.364	eV/atom
total energy	-4.326	eV per atom

a b c (Å): 5.833 5.833 5.833
angles (deg): 90.00 90.00 90.00
Atoms (fractional coordinates):
Na 0.000 0.000 0.000
Y 0.000 0.500 0.500
Y 0.500 0.000 0.500
Y 0.500 0.500 0.000
In 0.500 0.500 0.500

=====

No. 2
The following is a PBE-GGA calculation of a geometry-optimized NaYIn4 structure, from Alexandria via LeMat-Bulk.

Results
energy above the lowest structure with this stoichiometry	0.0731	eV/atom
energy of formation from the pure elements	-0.177	eV/atom
total energy	-3.300	eV per atom

a b c (Å): 6.083 6.083 6.083
angles (deg): 60.00 60.00 60.00
Atoms (fractional coordinates):
Na 0.000 0.000 0.000
Y 0.750 0.750 0.750
In 0.375 0.375 0.375
In 0.375 0.375 0.875
In 0.375 0.875 0.375
In 0.875 0.375 0.375